(1)
Below is crystalline Ho3Ga2 at its relaxed geometry, with properties calculated at the PBEsol level.

Cell: 11.3649 11.3649 14.5888 Å, 90.00 90.00 90.00°
Closest atoms and distances in Å follow each position.
Space group I4/mcm (No. 140)
Inequivalent atoms, fractional coordinates:
Ho 0.0000 0.5000 0.1474  4 Ga 2.86-2.96, 1 Ho 2.99
Ho 0.0668 0.2021 0.1350  6 Ga 2.90-3.25
Ho 0.1690 0.3310 0.5000  4 Ga 2.95-3.31
Ga 0.0000 0.0000 0.0000  8 Ho 3.12
Ga 0.0000 0.0000 0.2500  8 Ho 2.94
Ga 0.1172 0.3828 0.0000  6 Ho 2.86-2.90
Ga 0.1775 0.3225 0.2979  1 Ga 2.72, 4 Ho 2.95-3.02

Results
V	23.6	Å³ per atom
calculated formation energy	-273	kJ/mol of formula units

***

(2)
Below is crystalline K3AsS at its relaxed geometry, with properties calculated at the PBEsol level.

Cell: 5.9099 5.9099 5.9099 Å, 90.00 90.00 90.00°
Closest atoms and distances in Å follow each position.
Space group Pm-3m (No. 221)
Inequivalent atoms, fractional coordinates:
K 0.0000 0.0000 0.5000  2 S 2.95
As 0.5000 0.5000 0.5000  12 K 4.18
S 0.0000 0.0000 0.0000  6 K 2.95

Results
E_form (uncorrected)	-0.314	eV per atom
V	41.3	Å³ per atom

***

(3)
Below is crystalline Re2RuPt at its relaxed geometry, with properties calculated at the PBEsol level.

Cell: 2.7223 4.3642 4.7867 Å, 90.00 90.00 90.00°
Closest atoms and distances in Å follow each position.
Space group Pmm2 (No. 25)
Inequivalent atoms, fractional coordinates:
Re 0.0000 0.0000 0.0000  4 Re 2.67-2.72, 4 Ru 2.70, 4 Pt 2.75-2.76
Re 0.0000 0.5000 0.3228  4 Re 2.67-2.72, 4 Pt 2.71, 4 Ru 2.72-2.79
Ru 0.5000 0.5000 0.8306  8 Re 2.70-2.79, 2 Pt 2.70, 2 Ru 2.72
Pt 0.5000 0.0000 0.4994  2 Ru 2.70, 8 Re 2.71-2.76, 2 Pt 2.72

Results
V	14.2	Å³ per atom
calculated formation energy	-52	kJ/mol of formula units

***

| no. | magnetization (Bohr magnetons per cell) |
| --- | --- |
| 1 | 0.0 |
| 2 | 2.0 |
| 3 | 0.0 |